Record 1
A plane-wave DFT calculation with PBE was carried out for crystalline Tc2B4C at its relaxed geometry.

Symmetry: I4/mmm (139)
Calculated volume, Å³ per cell: 62.9
Energy, eV per cell: -51.45

Cell lengths 7.2515, 7.2515, 7.2515 Å; angles 156.03, 156.03, 34.16 degrees
Element x y z (fractional)
Tc (0.1354, 0.1354, 0.0000)
Tc (0.8646, 0.8646, 0.0000)
B (0.0000, 0.5000, 0.5000)
B (0.2956, 0.2956, 0.0000)
B (0.5000, 0.0000, 0.5000)
B (0.7044, 0.7044, 0.0000)
C (0.5000, 0.5000, 0.0000)


Record 2
A plane-wave DFT calculation with PBE was carried out for crystalline Tc2B2C at its relaxed geometry.

Symmetry: P4/mbm (127)
Calculated volume, Å³ per cell: 99.4
Energy above the most stable polymorph in this dataset, kJ/mol of atoms: 0.00
Energy, eV per cell: -84.65

Cell lengths 5.6856, 5.6856, 3.0750 Å; angles 90.00, 90.00, 90.00 degrees
Element x y z (fractional)
Tc (0.1810, 0.3190, 0.0000)
Tc (0.3190, 0.8190, 0.0000)
Tc (0.6810, 0.1810, 0.0000)
Tc (0.8190, 0.6810, 0.0000)
B (0.1083, 0.6083, 0.5000)
B (0.3917, 0.1083, 0.5000)
B (0.6083, 0.8917, 0.5000)
B (0.8917, 0.3917, 0.5000)
C (0.0000, 0.0000, 0.0000)
C (0.5000, 0.5000, 0.0000)


Record 3
A plane-wave DFT calculation with PBE was carried out for crystalline TcB2C2 at its relaxed geometry.

Symmetry: P4/mbm (127)
Calculated volume, Å³ per cell: 76.8
Energy, eV per cell: -71.49

Cell lengths 5.3290, 5.3290, 2.7040 Å; angles 90.00, 90.00, 90.00 degrees
Element x y z (fractional)
Tc (0.0000, 0.0000, 0.0000)
Tc (0.5000, 0.5000, 0.0000)
B (0.1189, 0.3811, 0.5000)
B (0.3811, 0.8811, 0.5000)
B (0.6189, 0.1189, 0.5000)
B (0.8811, 0.6189, 0.5000)
C (0.1154, 0.6154, 0.0000)
C (0.3846, 0.1154, 0.0000)
C (0.6154, 0.8846, 0.0000)
C (0.8846, 0.3846, 0.0000)


Number 1: density 6636 kg/m3, ΔH_f (0 K) 745 meV per atom, total magnetization 0.00 μB per atom. Number 2: density 7672 kg/m3, ΔH_f (0 K) 197 meV per atom, total magnetization 0.00 μB per atom. Number 3: density 6212 kg/m3, ΔH_f (0 K) 1285 meV per atom, total magnetization 0.00 μB per atom.